Here is an optimized crystal structure of CdHPd3 from OQMD via LeMat-Bulk. Energies are from PBE.

a b c (Å): 5.757 5.757 5.770
angles (deg): 120.03 120.03 89.78
Positions (direct):
Cd: 0.750 0.750 0.500
Cd: 0.250 0.250 0.500
H: 0.500 0.000 0.000
H: 0.000 0.500 0.000
Pd: 0.749 0.251 0.000
Pd: 0.251 0.749 0.000
Pd: 0.250 0.250 0.002
Pd: 0.751 0.249 0.500
Pd: 0.249 0.751 0.500
Pd: 0.750 0.750 0.998

Calculated values
VASP energy: -4.25 eV per atom

=====

Here is an optimized crystal structure of Ta4HgCl2 from OQMD via LeMat-Bulk. Energies are from PBE.

a b c (Å): 4.289 4.289 7.130
angles (deg): 90.00 90.00 90.00
Positions (direct):
Cl: 0.000 0.000 0.000
Cl: 0.500 0.500 0.500
Hg: 0.500 0.500 0.000
Ta: 0.500 0.000 0.303
Ta: 0.000 0.500 0.303
Ta: 0.500 0.000 0.697
Ta: 0.000 0.500 0.697

Calculated values
VASP energy: -6.45 eV per atom

=====

Table of density (Mg/m³), in record order: 10.6 12.6